The following is a DFT calculation (meta-GGA SCAN) of Ce2Ga3Cu at its PBEsol-relaxed geometry.

## Properties
VASP energy	-156.69	eV per cell
symmetry	P3m1

Cell: 4.4167 4.4167 7.0042 Å, 90.00 90.00 120.00°
Site moments in Bohr magnetons follow the coordinates.
Atoms (fractional coordinates):
Ga: 0.3333 0.6667 0.5062  -0.01
Ga: 0.0000 0.0000 0.0362  0.00
Ga: 0.3333 0.6667 0.9816  0.01
Ce: 0.6667 0.3333 0.2663  0.64
Ce: 0.6667 0.3333 0.7371  0.79
Cu: 0.0000 0.0000 0.4726  0.01